RbScMn2 | Alexandria | PBE-GGA | relaxed; crystal system = tetragonal; energy above the most stable polymorph in this dataset = 0.048 eV/atom; DFT total energy = -5.246 eV/atom; calculated formation energy = 1163 meV per atom
1.0
-2.6458 2.6458 9.5233
2.6458 -2.6458 9.5233
2.6458 2.6458 -9.5233
Rb Sc Mn
2 2 4
Direct
0.3750 0.6250 0.7500
0.6250 0.3750 0.2500
0.1250 0.8750 0.2500
0.8750 0.1250 0.7500
0.0000 0.0000 0.0000
0.0000 0.0000 0.5000
0.0000 0.5000 0.0000
0.5000 0.0000 0.5000

ZnCuSe2O6 | Alexandria | PBE-GGA | relaxed; crystal system = monoclinic; DFT total energy = -5.025 eV/atom; ΔE_f (raw) = -815.8 meV per atom
1.0
5.3979 0.0000 0.0000
0.0000 6.0504 0.0000
-5.0554 0.0000 7.6067
Zn Cu Se O
2 2 4 12
Direct
0.0000 0.0000 0.0000
0.0000 0.5000 0.5000
0.5000 0.0000 0.5000
0.5000 0.5000 0.0000
0.2456 0.0430 0.7433
0.2456 0.4570 0.2433
0.7544 0.5430 0.7567
0.7544 0.9570 0.2567
0.0292 0.7058 0.9278
0.0292 0.7942 0.4278
0.3218 0.2008 0.9237
0.3218 0.2992 0.4237
0.4360 0.5778 0.7632
0.4360 0.9222 0.2632
0.5640 0.0778 0.7368
0.5640 0.4222 0.2368
0.6782 0.7008 0.5763
0.6782 0.7992 0.0763
0.9708 0.2058 0.5722
0.9708 0.2942 0.0722

TiSbN2O | Alexandria | PBE-GGA | relaxed; crystal system = tetragonal; DFT total energy = -6.463 eV/atom; ΔE_f (raw) = 261.8 meV per atom
1.0
4.0105 0.0000 0.0000
0.0000 4.0105 0.0000
0.0000 0.0000 3.8820
Ti Sb N O
1 1 2 1
Direct
0.0000 0.0000 0.0000
0.5000 0.5000 0.5000
0.0000 0.5000 0.5000
0.5000 0.0000 0.5000
0.5000 0.5000 0.0000

HoEr3Mg7 | Alexandria | PBE-GGA | relaxed; crystal system = monoclinic; energy above the most stable polymorph in this dataset = 0.104 eV/atom; DFT total energy = -2.468 eV/atom; calculated formation energy = 207 meV per atom
1.0
5.3668 -5.0701 0.0000
5.3668 5.0701 0.0000
-1.8690 0.0000 5.7271
Ho Er Mg
1 3 7
Direct
0.0000 0.0000 0.0000
0.3080 0.6920 0.5000
0.5000 0.5000 0.0000
0.6920 0.3080 0.5000
0.0000 0.0000 0.5000
0.0646 0.5513 0.8108
0.2628 0.2628 0.4775
0.4487 0.9354 0.1892
0.5513 0.0646 0.8108
0.7372 0.7372 0.5225
0.9354 0.4487 0.1892

LiMg6Al2 | Alexandria | PBE-GGA | relaxed; crystal system = monoclinic; DFT total energy = -2.101 eV/atom; calculated formation energy = 6 meV per atom
1.0
4.7974 -2.1682 0.0000
4.7974 2.1682 0.0000
-2.5931 0.0000 9.0089
Li Mg Al
1 6 2
Direct
0.0000 0.0000 0.0000
0.0109 0.0109 0.3418
0.3196 0.3196 0.7669
0.3421 0.3421 0.1121
0.6579 0.6579 0.8879
0.6804 0.6804 0.2331
0.9891 0.9891 0.6582
0.3369 0.3369 0.4467
0.6631 0.6631 0.5533

BC2 | Alexandria | PBE-GGA | relaxed; crystal system = monoclinic; energy above the most stable polymorph in this dataset = 0.100 eV/atom; DFT total energy = -8.035 eV/atom; calculated formation energy = 340 meV per atom
1.0
4.3278 -1.8292 0.0000
4.3278 1.8292 0.0000
-1.9587 0.0000 4.9481
B C
4 8
Direct
0.0264 0.0264 0.2612
0.4744 0.1342 0.1494
0.8658 0.5256 0.8506
0.9736 0.9736 0.7388
0.2055 0.7945 0.5000
0.2293 0.7707 0.0000
0.2804 0.3830 0.4259
0.3234 0.3628 0.9155
0.5286 0.1314 0.6623
0.6170 0.7196 0.5741
0.6372 0.6766 0.0845
0.8686 0.4714 0.3377